Below is an optimized crystal structure of Th2TlHgOs, with properties calculated at the PBE level.

Summary:
DOS at the Fermi energy	6.69	states/eV/cell
uncorrected energy	-59.78	eV for the cell shown

a b c (Å): 7.4884 4.1365 8.8157
angles (deg): 90.00 95.43 90.00
Last column: nearest neighbours and their distance in Å.
Atoms (fractional coordinates):
Th  0.1297  0.2500  0.1615  2 Os 2.84
Th  0.2059  0.7500  0.5396  3 Os 2.85-3.03
Th  0.7941  0.2500  0.4604  3 Os 2.85-3.03
Th  0.8703  0.7500  0.8385  2 Os 2.84
Tl  0.4942  0.7500  0.2609  3 Hg 3.10-3.13, 1 Os 3.17, 5 Th 3.42-3.47
Tl  0.5058  0.2500  0.7391  3 Hg 3.10-3.13, 1 Os 3.17, 5 Th 3.42-3.47
Hg  0.3095  0.7500  0.9266  3 Tl 3.10-3.13, 2 Os 3.12, 4 Th 3.30-3.43
Hg  0.6905  0.2500  0.0734  3 Tl 3.10-3.13, 2 Os 3.12, 4 Th 3.30-3.43
Os  0.0813  0.2500  0.7264  5 Th 2.84-3.03, 2 Hg 3.12, 1 Tl 3.17
Os  0.9187  0.7500  0.2736  5 Th 2.84-3.03, 2 Hg 3.12, 1 Tl 3.17



Below is an optimized crystal structure of YThHgOs, with properties calculated at the PBE level.

Summary:
DOS at the Fermi energy	3.22	states/eV/cell
uncorrected energy	-26.22	eV for the cell shown

a b c (Å): 5.1373 5.1373 5.1373
angles (deg): 60.00 60.00 60.00
Last column: nearest neighbours and their distance in Å.
Atoms (fractional coordinates):
Y  0.0000  0.0000  0.0000  4 Hg 3.15, 4 Os 3.15
Th  0.5000  0.5000  0.5000  4 Hg 3.15, 4 Os 3.15
Hg  0.7500  0.7500  0.7500  4 Th 3.15, 4 Y 3.15
Os  0.2500  0.2500  0.2500  4 Th 3.15, 4 Y 3.15



Below is an optimized crystal structure of Ti2HgOs2, with properties calculated at the PBE level.

Summary:
DOS at the Fermi energy	8.94	states/eV/cell
relative energy among the computed polymorphs	0	meV per atom

a b c (Å): 7.4631 7.4631 3.0111
angles (deg): 90.00 90.00 90.00
Last column: nearest neighbours and their distance in Å.
Atoms (fractional coordinates):
Ti  0.1510  0.3490  0.0000  6 Os 2.65-2.67
Ti  0.3490  0.8490  0.0000  6 Os 2.65-2.67
Ti  0.6510  0.1510  0.0000  6 Os 2.65-2.67
Ti  0.8490  0.6510  0.0000  6 Os 2.65-2.67
Hg  0.0000  0.0000  0.5000  4 Os 2.88, 2 Hg 3.01, 8 Ti 3.21
Hg  0.5000  0.5000  0.5000  4 Os 2.88, 2 Hg 3.01, 8 Ti 3.21
Os  0.1404  0.6404  0.5000  6 Ti 2.65-2.67, 2 Hg 2.88, 1 Os 2.96
Os  0.3596  0.1404  0.5000  6 Ti 2.65-2.67, 2 Hg 2.88, 1 Os 2.96
Os  0.6404  0.8596  0.5000  6 Ti 2.65-2.67, 2 Hg 2.88, 1 Os 2.96
Os  0.8596  0.3596  0.5000  6 Ti 2.65-2.67, 2 Hg 2.88, 1 Os 2.96



Below is an optimized crystal structure of Ti2HgOs2, with properties calculated at the PBE level.

Summary:
DOS at the Fermi energy	2.24	states/eV/cell
relative energy among the computed polymorphs	212	meV per atom

a b c (Å): 6.1384 6.1384 6.1384
angles (deg): 140.37 140.37 57.30
Last column: nearest neighbours and their distance in Å.
Atoms (fractional coordinates):
Ti  0.2500  0.7500  0.5000  4 Os 2.53
Ti  0.7500  0.2500  0.5000  4 Os 2.53
Hg  0.0000  0.0000  0.0000  8 Os 3.20, 8 Ti 3.40
Os  0.3837  0.3837  0.0000  1 Os 2.51, 4 Ti 2.53
Os  0.6163  0.6163  0.0000  1 Os 2.51, 4 Ti 2.53



Below is an optimized crystal structure of Ti2HgOs, with properties calculated at the PBE level.

Summary:
DOS at the Fermi energy	7.01	states/eV/cell
uncorrected energy	-52.75	eV for the cell shown

a b c (Å): 5.8505 5.8505 5.8505
angles (deg): 102.99 102.99 123.40
Last column: nearest neighbours and their distance in Å.
Atoms (fractional coordinates):
Ti  0.0831  0.1250  0.4581  2 Os 2.47
Ti  0.3750  0.9169  0.0419  2 Os 2.47
Ti  0.6669  0.6250  0.5419  2 Os 2.47
Ti  0.8750  0.3331  0.9581  2 Os 2.47
Hg  0.2500  0.7500  0.5000  2 Os 2.77, 4 Ti 2.88
Hg  0.5000  0.5000  0.0000  2 Os 2.77, 4 Ti 2.88
Os  0.0000  0.0000  0.0000  4 Ti 2.47
Os  0.7500  0.2500  0.5000  4 Ti 2.47



Below is an optimized crystal structure of TiHgOs2, with properties calculated at the PBE level.

Summary:
DOS at the Fermi energy	7.33	states/eV/cell
uncorrected energy	-55.62	eV for the cell shown

a b c (Å): 9.6104 9.6104 9.6104
angles (deg): 155.94 155.94 34.29
Last column: nearest neighbours and their distance in Å.
Atoms (fractional coordinates):
Ti  0.0000  0.0000  0.0000  4 Os 2.60, 4 Hg 2.83
Ti  0.7500  0.2500  0.5000  4 Os 2.60, 4 Hg 2.83
Hg  0.2500  0.7500  0.5000  4 Os 2.82, 4 Ti 2.83
Hg  0.5000  0.5000  0.0000  4 Os 2.82, 4 Ti 2.83
Os  0.0506  0.6250  0.9256  2 Os 2.45, 2 Ti 2.60
Os  0.3750  0.3006  0.4256  2 Os 2.45, 2 Ti 2.60
Os  0.6994  0.1250  0.0744  2 Os 2.45, 2 Ti 2.60
Os  0.8750  0.9494  0.5744  2 Os 2.45, 2 Ti 2.60